Material: Ho8RuRh2
Method: DFT, PBE-GGA
State: relaxed

Cell lengths 8.8999, 8.8999, 6.7524 Å; angles 106.37, 106.37, 32.25 degrees
Sites, in units of the cell vectors:
Ho (0.0321, 0.0321, 0.2925)
Ho (0.2014, 0.2014, 0.8125)
Ho (0.3330, 0.3330, 0.5337)
Ho (0.4068, 0.4068, 0.0549)
Ho (0.5932, 0.5932, 0.9451)
Ho (0.6670, 0.6670, 0.4663)
Ho (0.7986, 0.7986, 0.1875)
Ho (0.9679, 0.9679, 0.7075)
Ru (0.5000, 0.5000, 0.5000)
Rh (0.1884, 0.1884, 0.2047)
Rh (0.8116, 0.8116, 0.7953)

Results
For the density of states at the Fermi level, the calculation gives 10.0 states/eV/f.u. The size of the total moment is 0.000 μB per cell. The formation enthalpy at 0 K comes out at -0.44 eV/atom. For the distance to the lowest polymorph of the same formula, the calculation gives 0.000 eV per atom. The symmetry is C2/m, No. 12.

---

Material: CrIr2Rh2
Method: DFT, PBE-GGA
State: relaxed

Cell lengths 7.1756, 7.1756, 7.1756 Å; angles 158.30, 149.50, 37.74 degrees
Sites, in units of the cell vectors:
Cr (0.0000, 0.0000, 0.0000)
Ir (0.4048, 0.4048, 0.0000)
Ir (0.5952, 0.5952, 0.0000)
Rh (0.1984, 0.1984, 0.0000)
Rh (0.8016, 0.8016, 0.0000)

Results
For the density of states at the Fermi level, the calculation gives 5.7 states/eV/f.u. The size of the total moment is 0.304 μB per cell. The formation enthalpy at 0 K comes out at -0.10 eV/atom. For the distance to the lowest polymorph of the same formula, the calculation gives 0.000 eV per atom. The symmetry is Immm, No. 71.

---

Material: CdBiH6Ir
Method: DFT, PBE-GGA
State: relaxed

Cell lengths 4.7587, 5.1086, 5.2388 Å; angles 79.67, 87.52, 66.10 degrees
Sites, in units of the cell vectors:
Cd (0.0000, 0.0000, 0.0000)
Bi (0.2115, 0.4657, 0.3682)
H (0.4198, 0.8379, 0.7535)
H (0.4388, 0.3919, 0.8485)
H (0.5406, 0.7079, 0.3843)
H (0.8196, 0.4834, 0.9716)
H (0.8385, 0.7531, 0.6270)
H (0.8415, 0.1995, 0.5826)
Ir (0.6670, 0.5248, 0.6792)

Results
As for the electronic total energy: -3.700 eV per atom. The size of the total moment is 0.000 μB per cell. The symmetry is P1, No. 1.

---

Material: LiYRuSe2
Method: DFT, PBE-GGA
State: relaxed

Cell lengths 4.7108, 4.7108, 4.1639 Å; angles 90.00, 90.00, 90.00 degrees
Sites, in units of the cell vectors:
Li (0.0000, 0.0000, 0.0000)
Y (0.5000, 0.5000, 0.5000)
Ru (0.0000, 0.0000, 0.5000)
Se (0.0000, 0.5000, 0.0000)
Se (0.5000, 0.0000, 0.0000)

Results
For the density of states at the Fermi level, the calculation gives 2.9 states/eV/f.u. The size of the total moment is 0.000 μB per cell. The calculation puts the energy relative to the elements, uncorrected at -0.2165 eV per atom. The symmetry is P4/mmm, No. 123.

---

Material: Ta2SiHg
Method: DFT, PBE-GGA
State: relaxed

Cell lengths 9.8259, 9.8259, 9.8259 Å; angles 17.40, 17.40, 17.40 degrees
Sites, in units of the cell vectors:
Ta (0.0000, 0.0000, 0.0000)
Ta (0.2470, 0.2470, 0.2470)
Si (0.7388, 0.7388, 0.7388)
Hg (0.4918, 0.4918, 0.4918)

Results
For the density of states at the Fermi level, the calculation gives 4.7 states/eV/f.u. The size of the total moment is 0.001 μB per cell. The calculation puts the energy relative to the elements, uncorrected at 0.3082 eV per atom. The symmetry is R3m, No. 160.

---

Material: ZrInCoTc
Method: DFT, PBE-GGA
State: relaxed

Cell lengths 4.5533, 4.5533, 4.5533 Å; angles 60.00, 60.00, 60.00 degrees
Sites, in units of the cell vectors:
Zr (0.0000, 0.0000, 0.0000)
In (0.5000, 0.5000, 0.5000)
Co (0.2500, 0.2500, 0.2500)
Tc (0.7500, 0.7500, 0.7500)

Results
For the density of states at the Fermi level, the calculation gives 6.2 states/eV/f.u. The size of the total moment is 0.605 μB per cell. The formation enthalpy at 0 K comes out at -0.07 eV/atom. The symmetry is F-43m, No. 216.

---

Material: Sm2GdH
Method: DFT, PBE-GGA
State: relaxed

Cell lengths 8.9229, 8.9229, 8.9229 Å; angles 23.71, 23.71, 23.71 degrees
Sites, in units of the cell vectors:
Sm (0.2212, 0.2212, 0.2212)
Sm (0.7788, 0.7788, 0.7788)
Gd (0.0000, 0.0000, 0.0000)
H (0.5000, 0.5000, 0.5000)

Results
For the density of states at the Fermi level, the calculation gives 3.7 states/eV/f.u. The size of the total moment is 7.220 μB per cell. For the distance to the lowest polymorph of the same formula, the calculation gives 0.000 eV per atom. The symmetry is R-3m, No. 166.

---

Material: Cr2Os
Method: DFT, PBE-GGA
State: relaxed

Cell lengths 4.7171, 4.7171, 4.7171 Å; angles 60.00, 60.00, 60.00 degrees
Sites, in units of the cell vectors:
Cr (0.0000, 0.0000, 0.0000)
Cr (0.0000, 0.0000, 0.5000)
Cr (0.0000, 0.5000, 0.0000)
Cr (0.5000, 0.0000, 0.0000)
Os (0.3750, 0.3750, 0.3750)
Os (0.6250, 0.6250, 0.6250)

Results
For the density of states at the Fermi level, the calculation gives 2.3 states/eV/f.u. The size of the total moment is 0.000 μB per cell. The formation enthalpy at 0 K comes out at 0.00 eV/atom. The symmetry is Fd-3m, No. 227.

---

Material: CsRb2HI
Method: DFT, PBE-GGA
State: relaxed

Cell lengths 5.9464, 5.9464, 6.7029 Å; angles 90.00, 90.00, 90.00 degrees
Sites, in units of the cell vectors:
Cs (0.0000, 0.0000, 0.0000)
Rb (0.0000, 0.5000, 0.5000)
Rb (0.5000, 0.0000, 0.5000)
H (0.0000, 0.0000, 0.5000)
I (0.5000, 0.5000, 0.0000)

Results
For the density of states at the Fermi level, the calculation gives 2.9 states/eV/f.u. As for the electronic total energy: -2.038 eV per atom. The size of the total moment is 0.000 μB per cell. The symmetry is P4/mmm, No. 123.

---

Material: LiCeMg2Ge2
Method: DFT, PBE-GGA
State: relaxed

Cell lengths 4.5145, 4.5145, 7.0624 Å; angles 90.00, 90.00, 120.00 degrees
Sites, in units of the cell vectors:
Li (0.0000, 0.0000, 0.0000)
Ce (0.0000, 0.0000, 0.5000)
Mg (0.3333, 0.6667, 0.1565)
Mg (0.6667, 0.3333, 0.8435)
Ge (0.3333, 0.6667, 0.7426)
Ge (0.6667, 0.3333, 0.2574)

Results
For the density of states at the Fermi level, the calculation gives 6.1 states/eV/f.u. The size of the total moment is 0.876 μB per cell. The formation enthalpy at 0 K comes out at -0.50 eV/atom. The symmetry is P-3m1, No. 164.

---

Material: ReAu2Br
Method: DFT, PBE-GGA
State: relaxed

Cell lengths 2.8988, 3.0891, 8.9319 Å; angles 90.00, 97.42, 90.00 degrees
Sites, in units of the cell vectors:
Re (0.0000, 0.0000, 0.0000)
Au (0.1763, 0.0000, 0.4396)
Au (0.5851, 0.5000, 0.2126)
Br (0.9132, 0.5000, 0.7843)

Results
For the density of states at the Fermi level, the calculation gives 2.5 states/eV/f.u. The size of the total moment is 0.000 μB per cell. The calculation puts the energy relative to the elements, uncorrected at 0.5478 eV per atom. For the distance to the lowest polymorph of the same formula, the calculation gives 0.041 eV per atom. The symmetry is Pm, No. 6.

---

Material: Fe4HgW
Method: DFT, PBE-GGA
State: relaxed

Cell lengths 4.8245, 4.8245, 4.8245 Å; angles 60.00, 60.00, 60.00 degrees
Sites, in units of the cell vectors:
Fe (0.3759, 0.3759, 0.3759)
Fe (0.3759, 0.3759, 0.8724)
Fe (0.3759, 0.8724, 0.3759)
Fe (0.8724, 0.3759, 0.3759)
Hg (0.0000, 0.0000, 0.0000)
W (0.7500, 0.7500, 0.7500)

Results
For the density of states at the Fermi level, the calculation gives 4.3 states/eV/f.u. The size of the total moment is 6.742 μB per cell. The formation enthalpy at 0 K comes out at 0.25 eV/atom. The symmetry is F-43m, No. 216.

---

Material: La3Pr7Sm2
Method: DFT, PBE-GGA
State: relaxed

Cell lengths 6.0686, 3.6881, 19.5971 Å; angles 90.00, 92.97, 90.00 degrees
Sites, in units of the cell vectors:
La (0.0000, 0.0000, 0.0000)
La (0.2769, 0.5000, 0.6341)
La (0.7231, 0.5000, 0.3659)
Pr (0.1872, 0.5000, 0.1453)
Pr (0.2442, 0.0000, 0.4632)
Pr (0.3102, 0.0000, 0.8218)
Pr (0.5000, 0.5000, 0.0000)
Pr (0.6898, 0.0000, 0.1782)
Pr (0.7558, 0.0000, 0.5368)
Pr (0.8128, 0.5000, 0.8547)
Sm (0.2141, 0.0000, 0.2948)
Sm (0.7859, 0.0000, 0.7052)

Results
For the density of states at the Fermi level, the calculation gives 17.4 states/eV/f.u. The size of the total moment is 0.000 μB per cell. The formation enthalpy at 0 K comes out at 0.08 eV/atom. For the distance to the lowest polymorph of the same formula, the calculation gives 0.008 eV per atom. The symmetry is P2/m, No. 10.